(1)
# TlReP3, relaxed, DFT PBE-GGA
data_TlReP3
_cell_length_a 4.7276
_cell_length_b 4.7276
_cell_length_c 4.7276
_cell_angle_alpha 90.00
_cell_angle_beta 90.00
_cell_angle_gamma 90.00
_symmetry_space_group_name_H-M 'P m -3 m'
_symmetry_Int_Tables_number 221
_symmetry_space_group_name_Hall '-P 4 2 3'
loop_
_atom_site_label
_atom_site_type_symbol
_atom_site_fract_x
_atom_site_fract_y
_atom_site_fract_z
Tl1 Tl 0.0000 0.0000 0.0000
Re1 Re 0.5000 0.5000 0.5000
P1 P 0.0000 0.5000 0.5000
# E_form   229 kJ/mol of formula units
# Magnetization   0.0 μB per cell

(2)
# Nd2NiHPt, relaxed, DFT PBE-GGA
data_Nd2NiHPt
_cell_length_a 5.7907
_cell_length_b 4.4768
_cell_length_c 7.9327
_cell_angle_alpha 90.00
_cell_angle_beta 111.33
_cell_angle_gamma 90.00
_symmetry_space_group_name_H-M 'P 1 21/m 1'
_symmetry_Int_Tables_number 11
loop_
_symmetry_equiv_pos_as_xyz
'x,y,z'
'-x,-y,-z'
'-x,y+1/2,-z'
'x,-y+1/2,z'
loop_
_atom_site_label
_atom_site_type_symbol
_atom_site_fract_x
_atom_site_fract_y
_atom_site_fract_z
Nd1 Nd 0.2095 0.2500 0.4278
Nd2 Nd 0.2900 0.7500 0.0670
Ni1 Ni 0.1364 0.2500 0.7888
H1 H 0.1380 0.2500 0.9952
Pt1 Pt 0.3433 0.7500 0.7027
# Magnetization   0.0 μB per cell
# Final energy   -5.6304 eV/atom

> Look up the magnetization of the first one.

0.0 μB per cell

What did the first record say?
# TlReP3, relaxed, DFT PBE-GGA
data_TlReP3
_cell_length_a 4.7276
_cell_length_b 4.7276
_cell_length_c 4.7276
_cell_angle_alpha 90.00
_cell_angle_beta 90.00
_cell_angle_gamma 90.00
_symmetry_space_group_name_H-M 'P m -3 m'
_symmetry_Int_Tables_number 221
_symmetry_space_group_name_Hall '-P 4 2 3'
loop_
_atom_site_label
_atom_site_type_symbol
_atom_site_fract_x
_atom_site_fract_y
_atom_site_fract_z
Tl1 Tl 0.0000 0.0000 0.0000
Re1 Re 0.5000 0.5000 0.5000
P1 P 0.0000 0.5000 0.5000
# E_form   229 kJ/mol of formula units
# Magnetization   0.0 μB per cell